Entry 1:
VASP calculation (PBE) on an optimized crystal structure of CeNd2Ho12.

Computed properties:
Energy of formation from the pure elements, eV per atom: 0.350
SG: P4/nbm
Calculated density, g/cm3: 7.8

```
CeNd2Ho12
1.0
6.405 0.000 0.000
0.000 6.405 0.000
0.000 0.000 24.921
Ce Nd Ho
2 4 24
Cartesian
1.601 4.804 0.000
4.804 1.601 0.000
1.601 4.804 6.793
1.601 4.804 18.128
4.804 1.601 6.793
4.804 1.601 18.128
0.419 3.621 2.864
0.419 5.986 22.057
0.520 3.723 10.955
0.520 5.884 13.966
1.601 1.601 5.345
1.601 1.601 8.482
1.601 1.601 16.439
1.601 1.601 19.576
2.682 3.723 13.966
2.682 5.884 10.955
2.784 3.621 22.057
2.784 5.986 2.864
3.621 0.419 22.057
3.621 2.784 2.864
3.723 0.520 13.966
3.723 2.682 10.955
4.804 4.804 5.345
4.804 4.804 8.482
4.804 4.804 16.439
4.804 4.804 19.576
5.884 0.520 10.955
5.884 2.682 13.966
5.986 0.419 2.864
5.986 2.784 22.057
```

***

Entry 2:
VASP calculation (PBE) on an optimized crystal structure of Ce3NdHo2P6.

Computed properties:
Energy of formation from the pure elements, eV per atom: -1.542
SG: C2/m
Calculated density, g/cm3: 6.3

```
Ce3NdHo2P6
1.0
3.524 -6.105 0.000
3.524 6.105 0.000
-2.352 0.000 6.631
Ce Nd Ho P
3 1 2 6
Cartesian
0.000 0.000 0.000
3.524 2.020 0.000
3.524 -2.020 0.000
2.348 0.000 3.315
2.348 4.065 3.315
2.348 -4.065 3.315
1.151 2.073 1.657
-0.047 0.000 4.965
1.151 -2.073 1.657
3.545 2.073 4.973
4.744 0.000 1.666
3.545 -2.073 4.973
```

***

Entry 3:
VASP calculation (PBE) on an optimized crystal structure of CeNd2Ho3P6.

Computed properties:
Energy of formation from the pure elements, eV per atom: -1.569
SG: C2/m
Calculated density, g/cm3: 6.5

```
CeNd2Ho3P6
1.0
8.841 -2.034 0.000
8.841 2.034 0.000
-1.848 0.000 7.914
Ce Nd Ho P
1 2 3 6
Cartesian
0.000 0.000 0.000
4.657 0.000 5.263
11.176 0.000 2.651
-0.924 0.000 3.957
5.570 0.000 1.321
10.264 0.000 6.592
1.810 0.000 4.668
2.805 0.000 0.599
8.332 0.000 1.980
7.501 0.000 5.934
13.029 0.000 7.314
14.024 0.000 3.245
```

***

Entry 4:
VASP calculation (PBE) on an optimized crystal structure of Ce3NdHo4P8.

Computed properties:
Energy of formation from the pure elements, eV per atom: -1.562
SG: R-3m
Calculated density, g/cm3: 6.5

```
Ce3NdHo4P8
1.0
4.049 2.338 6.593
-4.049 2.338 6.593
0.000 -4.676 6.593
Ce Nd Ho P
3 1 4 8
Cartesian
-2.025 -1.169 6.593
-2.025 1.169 13.186
0.000 2.338 6.593
0.000 0.000 0.000
-4.049 0.000 9.890
-2.025 1.169 3.297
2.025 1.169 3.297
0.000 0.000 9.890
0.000 0.000 4.912
-2.003 -1.156 11.498
0.000 -2.313 8.281
-2.003 1.156 8.281
2.003 -1.156 11.498
0.000 2.313 11.498
2.003 1.156 8.281
0.000 0.000 14.867
```